Model 1:
Zr2Si2O5 | the Open Quantum Materials Database | PBE-GGA | optimized geometry; space-group type = P4/mmm
1.0
4.117 0.000 0.000
0.000 4.117 0.000
0.000 0.000 7.728
Zr Si O
2 2 5
direct
0.000 0.000 0.240
0.000 0.000 0.760
0.500 0.500 0.000
0.500 0.500 0.500
0.000 0.000 0.500
0.000 0.500 0.247
0.000 0.500 0.753
0.500 0.000 0.247
0.500 0.000 0.753


Model 2:
Zr2Si2O5 | the Open Quantum Materials Database | PBE-GGA | optimized geometry; space-group type = P4/mmm
1.0
3.868 0.000 0.000
0.000 3.868 0.000
0.000 0.000 5.900
Zr Si O
2 2 5
direct
0.000 0.000 0.000
0.000 0.000 0.500
0.500 0.500 0.202
0.500 0.500 0.798
0.000 0.500 0.244
0.000 0.500 0.756
0.500 0.000 0.244
0.500 0.000 0.756
0.500 0.500 0.500


Sorted by energy, starting with the most stable: model 2, model 1.


Model 1:
SmO | the Open Quantum Materials Database | PBE-GGA | optimized geometry; space-group type = P-6m2
1.0
3.339 0.000 0.000
-1.669 2.891 0.000
0.000 0.000 3.177
Sm O
1 1
direct
0.000 0.000 0.000
0.333 0.667 0.500


Model 2:
SmO | the Open Quantum Materials Database | PBE-GGA | optimized geometry; space-group type = F-43m
1.0
5.416 0.000 0.000
0.000 5.416 0.000
0.000 0.000 5.416
Sm O
4 4
direct
0.000 0.000 0.000
0.000 0.500 0.500
0.500 0.000 0.500
0.500 0.500 0.000
0.250 0.250 0.250
0.250 0.750 0.750
0.750 0.250 0.750
0.750 0.750 0.250


Sorted by energy, starting with the most stable: model 2, model 1.


Model 1:
Sm2Ta2O5 | the Open Quantum Materials Database | PBE-GGA | optimized geometry; space-group type = P4/mmm
1.0
4.037 0.000 0.000
0.000 4.037 0.000
0.000 0.000 7.126
Sm Ta O
2 2 5
direct
0.000 0.000 0.000
0.000 0.000 0.500
0.500 0.500 0.197
0.500 0.500 0.803
0.000 0.500 0.248
0.000 0.500 0.752
0.500 0.000 0.248
0.500 0.000 0.752
0.500 0.500 0.500


Model 2:
Sm2Ta2O5 | the Open Quantum Materials Database | PBE-GGA | optimized geometry; space-group type = P4/mmm
1.0
3.489 0.000 0.000
0.000 3.489 0.000
0.000 0.000 10.206
Sm Ta O
2 2 5
direct
0.000 0.000 0.234
0.000 0.000 0.766
0.500 0.500 0.000
0.500 0.500 0.500
0.000 0.000 0.000
0.000 0.500 0.383
0.000 0.500 0.617
0.500 0.000 0.383
0.500 0.000 0.617


Sorted by energy, starting with the most stable: model 1, model 2.


Model 1:
TbSmTeO2 | the Open Quantum Materials Database | PBE-GGA | optimized geometry; space-group type = P3m1
1.0
3.948 0.000 0.000
-1.974 3.419 0.000
0.000 0.000 7.268
Tb Sm Te O
1 1 1 2
direct
0.000 0.000 0.000
0.333 0.667 0.606
0.667 0.333 0.300
0.000 0.000 0.687
0.333 0.667 0.928


Model 2:
TbSmTeO2 | the Open Quantum Materials Database | PBE-GGA | optimized geometry; space-group type = I4mm
1.0
3.962 0.000 0.000
0.000 3.962 0.000
0.000 0.000 12.595
Tb Sm Te O
2 2 2 4
direct
0.000 0.000 0.000
0.500 0.500 0.500
0.000 0.000 0.322
0.500 0.500 0.822
0.000 0.000 0.662
0.500 0.500 0.162
0.000 0.500 0.415
0.000 0.500 0.915
0.500 0.000 0.415
0.500 0.000 0.915


Sorted by energy, starting with the most stable: model 2, model 1.


Model 1:
Sm2Tl2O5 | the Open Quantum Materials Database | PBE-GGA | optimized geometry; space-group type = P4/mmm
1.0
4.333 0.000 0.000
0.000 4.333 0.000
0.000 0.000 7.115
Sm Tl O
2 2 5
direct
0.000 0.000 0.000
0.000 0.000 0.500
0.500 0.500 0.194
0.500 0.500 0.806
0.000 0.500 0.246
0.000 0.500 0.754
0.500 0.000 0.246
0.500 0.000 0.754
0.500 0.500 0.500


Model 2:
Sm2Tl2O5 | the Open Quantum Materials Database | PBE-GGA | optimized geometry; space-group type = P4/mmm
1.0
4.213 0.000 0.000
0.000 4.213 0.000
0.000 0.000 8.801
Sm Tl O
2 2 5
direct
0.000 0.000 0.246
0.000 0.000 0.754
0.500 0.500 0.000
0.500 0.500 0.500
0.000 0.000 0.500
0.000 0.500 0.157
0.000 0.500 0.843
0.500 0.000 0.157
0.500 0.000 0.843


Sorted by energy, starting with the most stable: model 2, model 1.


Model 1:
Sm2Zn2O5 | the Open Quantum Materials Database | PBE-GGA | optimized geometry; space-group type = P4/mmm
1.0
3.944 0.000 0.000
0.000 3.944 0.000
0.000 0.000 7.146
Sm Zn O
2 2 5
direct
0.000 0.000 0.000
0.000 0.000 0.500
0.500 0.500 0.229
0.500 0.500 0.771
0.000 0.500 0.208
0.000 0.500 0.792
0.500 0.000 0.208
0.500 0.000 0.792
0.500 0.500 0.500


Model 2:
Sm2Zn2O5 | the Open Quantum Materials Database | PBE-GGA | optimized geometry; space-group type = P4/mmm
1.0
4.021 0.000 0.000
0.000 4.021 0.000
0.000 0.000 8.786
Sm Zn O
2 2 5
direct
0.000 0.000 0.242
0.000 0.000 0.758
0.500 0.500 0.000
0.500 0.500 0.500
0.000 0.000 0.500
0.000 0.500 0.137
0.000 0.500 0.863
0.500 0.000 0.137
0.500 0.000 0.863


Sorted by energy, starting with the most stable: model 1, model 2.


Model 1:
Tb2Sn2O5 | the Open Quantum Materials Database | PBE-GGA | optimized geometry; space-group type = P4/mmm
1.0
4.274 0.000 0.000
0.000 4.274 0.000
0.000 0.000 6.933
Tb Sn O
2 2 5
direct
0.000 0.000 0.000
0.000 0.000 0.500
0.500 0.500 0.208
0.500 0.500 0.792
0.000 0.500 0.238
0.000 0.500 0.762
0.500 0.000 0.238
0.500 0.000 0.762
0.500 0.500 0.500


Model 2:
Tb2Sn2O5 | the Open Quantum Materials Database | PBE-GGA | optimized geometry; space-group type = P4/mmm
1.0
3.756 0.000 0.000
0.000 3.756 0.000
0.000 0.000 9.552
Tb Sn O
2 2 5
direct
0.000 0.000 0.245
0.000 0.000 0.755
0.500 0.500 0.000
0.500 0.500 0.500
0.000 0.000 0.000
0.000 0.500 0.367
0.000 0.500 0.633
0.500 0.000 0.367
0.500 0.000 0.633


Sorted by energy, starting with the most stable: model 2, model 1.


Model 1:
Tc2Sn2O5 | the Open Quantum Materials Database | PBE-GGA | optimized geometry; space-group type = P4/mmm
1.0
3.902 0.000 0.000
0.000 3.902 0.000
0.000 0.000 7.792
Tc Sn O
2 2 5
direct
0.000 0.000 0.223
0.000 0.000 0.777
0.500 0.500 0.000
0.500 0.500 0.500
0.000 0.000 0.500
0.000 0.500 0.232
0.000 0.500 0.768
0.500 0.000 0.232
0.500 0.000 0.768


Model 2:
Tc2Sn2O5 | the Open Quantum Materials Database | PBE-GGA | optimized geometry; space-group type = P4/mmm
1.0
4.171 0.000 0.000
0.000 4.171 0.000
0.000 0.000 6.957
Tc Sn O
2 2 5
direct
0.000 0.000 0.000
0.000 0.000 0.500
0.500 0.500 0.211
0.500 0.500 0.789
0.000 0.500 0.232
0.000 0.500 0.768
0.500 0.000 0.232
0.500 0.000 0.768
0.500 0.500 0.500


Sorted by energy, starting with the most stable: model 1, model 2.